(1)
Material: RbTb2I7
Method: DFT, PBE
State: optimized geometry

The structure in extended XYZ format:
```
10
Lattice="4.902 -7.892 0.000 4.902 7.892 0.000 0.000 0.000 6.058" Properties=species:S:1:pos:R:3 pbc="T T T"
Rb 0.000 0.000 0.000
Tb 4.902 3.125 3.029
Tb 4.902 -3.125 3.029
I 1.841 2.200 3.029
I 4.902 3.186 0.000
I 1.841 -2.200 3.029
I 4.902 0.000 3.029
I 7.963 2.200 3.029
I 4.902 -3.186 0.000
I 7.963 -2.200 3.029
```

Summary:
space group	Cmmm
formation energy from raw total energies	-1.35	eV per atom
size of the total moment	0.0	Bohr magnetons per cell

(2)
Material: RbTbI3
Method: DFT, PBE
State: optimized geometry

The structure in extended XYZ format:
```
10
Lattice="8.671 0.000 0.000 -4.335 7.509 0.000 0.000 0.000 6.829" Properties=species:S:1:pos:R:3 pbc="T T T"
Rb 0.000 5.006 1.707
Rb 4.335 2.503 5.122
Tb 0.000 0.000 0.000
Tb 0.000 0.000 3.414
I 0.000 2.606 5.122
I -2.079 6.206 5.122
I 2.257 1.303 1.707
I 2.079 6.206 5.122
I 6.414 1.303 1.707
I 4.335 4.903 1.707
```

Summary:
space group	P6_3/mmc
formation energy from raw total energies	-1.30	eV per atom
excess energy over the best structure of this formula in the dataset	0.0	meV per atom
size of the total moment	0.0	Bohr magnetons per cell

(3)
Material: RbTb2I6
Method: DFT, PBE
State: optimized geometry

The structure in extended XYZ format:
```
9
Lattice="7.711 0.000 0.000 -3.856 6.678 0.000 0.000 0.000 8.733" Properties=species:S:1:pos:R:3 pbc="T T T"
Rb 0.000 0.000 0.000
Tb 0.000 4.452 4.366
Tb 3.856 2.226 4.366
I -1.370 2.374 6.187
I -2.485 4.305 2.546
I 2.741 0.000 6.187
I 1.370 2.374 2.546
I 4.971 0.000 2.546
I 2.485 4.305 6.187
```

Summary:
space group	P-31m
formation energy from raw total energies	-1.33	eV per atom
size of the total moment	1.0	Bohr magnetons per cell

(4)
Material: RbTbI3
Method: DFT, PBE
State: optimized geometry

The structure in extended XYZ format:
```
5
Lattice="6.085 0.000 0.000 0.000 6.085 0.000 0.000 0.000 6.085" Properties=species:S:1:pos:R:3 pbc="T T T"
Rb 0.000 0.000 0.000
Tb 3.042 3.042 3.042
I 0.000 3.042 3.042
I 3.042 0.000 3.042
I 3.042 3.042 0.000
```

Summary:
space group	Pm-3m
formation energy from raw total energies	-1.20	eV per atom
excess energy over the best structure of this formula in the dataset	100.6	meV per atom
size of the total moment	0.0	Bohr magnetons per cell

(5)
Material: Rb5Tb2I12
Method: DFT, PBE
State: optimized geometry

The structure in extended XYZ format:
```
19
Lattice="10.298 -4.399 0.000 10.298 4.399 0.000 -3.804 0.000 11.340" Properties=species:S:1:pos:R:3 pbc="T T T"
Rb 0.000 0.000 0.000
Rb 5.499 0.000 1.638
Rb 3.862 0.000 7.494
Rb 12.930 0.000 3.846
Rb 11.294 0.000 9.703
Tb 8.396 2.196 5.670
Tb 8.396 -2.196 5.670
I -2.471 0.000 7.735
I 5.507 2.167 4.853
I 3.768 2.011 10.590
I 11.285 2.167 6.487
I 13.025 2.011 0.750
I 8.990 0.000 3.566
I 7.803 0.000 7.774
I 3.768 -2.011 10.590
I 5.507 -2.167 4.853
I 13.025 -2.011 0.750
I 11.285 -2.167 6.487
I 19.263 0.000 3.606
```

Summary:
space group	C2/m
formation energy from raw total energies	-1.33	eV per atom
size of the total moment	1.0	Bohr magnetons per cell

(6)
Material: Rb4TbI7
Method: DFT, PBE
State: optimized geometry

The structure in extended XYZ format:
```
12
Lattice="9.288 -3.045 0.000 9.288 3.045 0.000 -3.300 0.000 11.980" Properties=species:S:1:pos:R:3 pbc="T T T"
Rb -0.434 0.000 2.459
Rb 2.008 0.000 9.968
Rb 13.269 0.000 2.012
Rb 15.711 0.000 9.522
Tb 7.638 0.000 5.990
I -1.650 0.000 5.990
I 2.563 0.000 0.473
I 6.173 0.000 3.333
I 5.045 0.000 7.572
I 10.232 0.000 4.408
I 9.104 0.000 8.647
I 12.714 0.000 11.507
```

Summary:
space group	C2/m
formation energy from raw total energies	-1.44	eV per atom
size of the total moment	0.0	Bohr magnetons per cell